Compound: NaSrCd10
Source: the Alexandria database
Functional: PBE
Structure: relaxed

Crystal system: orthorhombic
E_form (meV per atom): -121

Structure (CIF):
```
data_NaSrCd10
_space_group_name_H-M_alt 'P m m m'
_space_group_IT_number 47
_cell_length_a 4.9414
_cell_length_b 5.9776
_cell_length_c 10.4304
_cell_angle_alpha 90.00
_cell_angle_beta 90.00
_cell_angle_gamma 90.00
loop_
_space_group_symop_operation_xyz
'x,y,z'
'-x,-y,-z'
'-x,-y,z'
'x,y,-z'
'x,-y,-z'
'-x,y,z'
'-x,y,-z'
'x,-y,z'
loop_
_atom_site_label
_atom_site_type_symbol
_atom_site_fract_x
_atom_site_fract_y
_atom_site_fract_z
Na1 Na 0.0000 0.0000 0.0000
Sr1 Sr 0.0000 0.5000 0.5000
Cd1 Cd 0.0000 0.0000 0.3221
Cd2 Cd 0.0000 0.5000 0.1585
Cd3 Cd 0.5000 0.0000 0.5000
Cd4 Cd 0.5000 0.2549 0.2557
Cd5 Cd 0.5000 0.5000 0.0000
```


Compound: TmPaTi2
Source: the Alexandria database
Functional: PBE
Structure: relaxed

Crystal system: tetragonal
E_form (meV per atom): 87

Structure (CIF):
```
data_TmPaTi2
_space_group_name_H-M_alt 'P 4/m m m'
_space_group_IT_number 123
_space_group_name_Hall '-P 4 2'
_cell_length_a 3.6089
_cell_length_b 3.6089
_cell_length_c 6.8668
_cell_angle_alpha 90.00
_cell_angle_beta 90.00
_cell_angle_gamma 90.00
loop_
_atom_site_label
_atom_site_type_symbol
_atom_site_fract_x
_atom_site_fract_y
_atom_site_fract_z
Tm1 Tm 0.0000 0.0000 0.0000
Pa1 Pa 0.0000 0.0000 0.5000
Ti1 Ti 0.5000 0.5000 0.2982
```


Compound: Te2IrS
Source: the Alexandria database
Functional: PBE
Structure: relaxed

Uncorrected formation energy (eV per atom): 0.7524
Crystal system: trigonal

Structure (CIF):
```
data_Te2IrS
_space_group_name_H-M_alt 'R -3 m'
_space_group_IT_number 166
_space_group_name_Hall '-R 3 2"'
_cell_length_a 3.2638
_cell_length_b 3.2638
_cell_length_c 28.3309
_cell_angle_alpha 90.00
_cell_angle_beta 90.00
_cell_angle_gamma 120.00
loop_
_atom_site_label
_atom_site_type_symbol
_atom_site_fract_x
_atom_site_fract_y
_atom_site_fract_z
Te1 Te 0.0000 0.0000 0.0907
Ir1 Ir 0.0000 0.0000 0.0000
S1 S 0.0000 0.0000 0.5000
```


Compound: MnCo2Tc
Source: the Alexandria database
Functional: PBE
Structure: relaxed

Energy relative to the lowest polymorph listed for this composition (meV/atom): 144
Crystal system: orthorhombic
E_form (meV per atom): 156

Structure (CIF):
```
data_MnCo2Tc
_space_group_name_H-M_alt 'I m m m'
_space_group_IT_number 71
_space_group_name_Hall '-I 2 2'
_cell_length_a 2.8796
_cell_length_b 4.0923
_cell_length_c 8.2112
_cell_angle_alpha 90.00
_cell_angle_beta 90.00
_cell_angle_gamma 90.00
loop_
_atom_site_label
_atom_site_type_symbol
_atom_site_fract_x
_atom_site_fract_y
_atom_site_fract_z
Mn1 Mn 0.0000 0.0000 0.0000
Co1 Co 0.0000 0.5000 0.2603
Tc1 Tc 0.0000 0.0000 0.5000
```


M_tot? In order: 0.000 0.001 0.000 4.477 μB per formula unit.